Sn2H2Br3: relaxed, PBE.

Properties
The calculation puts the density of states at the Fermi level at 0.95 states/eV/f.u. The calculation puts the total energy at -3.0653 eV per atom. Its symmetry is P-1.

Unit cell a=3.835 b=9.092 c=7.811 alpha=41.35 beta=103.85 gamma=101.82
Sites, in units of the cell vectors:
Sn: 0.817 0.812 0.825
Sn: 0.183 0.188 0.175
H: 0.291 0.907 0.678
H: 0.709 0.093 0.322
Br: 0.000 0.000 0.000
Br: 0.355 0.457 0.262
Br: 0.645 0.543 0.738